# 1
SnTe3W at its PBEsol-relaxed geometry. Source: Alexandria, functional SCAN.

The structure in POSCAR format:
```
SnTe3W
1.0
5.496 0.000 0.000
0.000 5.496 0.000
0.000 0.000 5.496
Te W Sn
3 1 1
direct
0.000 0.500 0.000
0.000 0.000 0.500
0.500 0.000 0.000
0.500 0.500 0.500
0.000 0.000 0.000
```

Output
- total DFT energy (no corrections) (eV for the cell shown) = -209.1


# 2
ThSn3 at its PBEsol-relaxed geometry. Source: Alexandria, functional SCAN.

The structure in POSCAR format:
```
ThSn3
1.0
4.680 0.000 0.000
0.000 4.680 0.000
0.000 0.000 4.680
Sn Th
3 1
direct
0.000 0.500 0.500
0.500 0.500 0.000
0.500 0.000 0.500
0.000 0.000 0.000
```

Output
- energy of formation from the pure elements (eV/atom) = -0.433


# 3
TiSnW3 at its PBEsol-relaxed geometry. Source: Alexandria, functional SCAN.

The structure in POSCAR format:
```
TiSnW3
1.0
4.796 0.000 0.000
0.000 4.796 0.000
0.000 0.000 4.796
Ti W Sn
1 3 1
direct
0.500 0.500 0.500
0.500 0.000 0.000
0.000 0.500 0.000
0.000 0.000 0.500
0.000 0.000 0.000
```

Output
- energy of formation from the pure elements (eV/atom) = 2.690


# 4
YTiSn3 at its PBEsol-relaxed geometry. Source: Alexandria, functional SCAN.

The structure in POSCAR format:
```
YTiSn3
1.0
5.145 0.000 0.000
0.000 5.145 0.000
0.000 0.000 5.145
Sn Y Ti
3 1 1
direct
0.500 0.000 0.000
0.000 0.500 0.000
0.000 0.000 0.500
0.500 0.500 0.500
0.000 0.000 0.000
```

Output
- energy of formation from the pure elements (eV/atom) = -0.093


# 5
YTl2Sn2 at its PBEsol-relaxed geometry. Source: Alexandria, functional SCAN.

The structure in POSCAR format:
```
YTl2Sn2
1.0
-0.022 -1.692 3.900
4.062 -1.158 -0.479
0.328 8.405 1.331
Tl Y Sn
2 1 2
direct
0.750 0.250 0.500
0.250 0.750 0.500
0.000 0.000 0.000
0.589 0.589 0.179
0.411 0.411 0.821
```

Output
- energy of formation from the pure elements (eV/atom) = -0.144


# 6
Tl2ZnSn at its PBEsol-relaxed geometry. Source: Alexandria, functional SCAN.

The structure in POSCAR format:
```
Tl2ZnSn
1.0
-2.025 -4.406 -1.900
-1.003 -3.992 3.190
-4.927 -1.285 1.093
Tl Sn Zn
2 1 1
direct
0.250 0.250 0.250
0.750 0.750 0.750
0.500 0.500 0.500
0.000 0.000 0.000
```

Output
- energy of formation from the pure elements (eV/atom) = 0.233